# 1
## TbTlAgPb (PBE)

Data for crystalline TbTlAgPb at its relaxed geometry.

Cell: 7.432 7.432 7.432 Å, 90.00 90.00 90.00°
Space group F-43m (No. 216)
Unique sites:
Tb1 0.000 0.000 0.000 [4 per cell]
Tl1 0.250 0.250 0.750 [4 per cell]
Ag1 0.000 0.000 0.500 [4 per cell]
Pb1 0.250 0.250 0.250 [4 per cell]

Summary:
The density of states at the Fermi level is 0.675 states/eV per atom. As for the energy of formation from the pure elements: -0.131 eV per atom. As for the excess energy over the best structure of this formula in the dataset: 0.124 eV per atom.

# 2
## K3RbPb (PBE)

Data for crystalline K3RbPb at its relaxed geometry.

Cell: 10.092 5.131 12.099 Å, 90.00 105.60 90.00°
Space group P2_1/m (No. 11)
Unique sites:
K1 0.107 0.250 0.163 [2 per cell]
K2 0.360 0.750 0.419 [2 per cell]
K3 0.362 0.750 0.018 [2 per cell]
Rb1 0.224 0.250 0.682 [2 per cell]
Pb1 0.484 0.250 0.248 [2 per cell]

Summary:
The density of states at the Fermi level is 0.752 states/eV per atom. As for the energy of formation from the pure elements: -0.045 eV per atom. As for the excess energy over the best structure of this formula in the dataset: 0.004 eV per atom.

# 3
## SbPt2Cl (PBE)

Data for crystalline SbPt2Cl at its relaxed geometry.

Cell: 4.415 4.415 7.547 Å, 90.00 90.00 90.00°
Space group I4/mmm (No. 139)
Unique sites:
Sb1 0.000 0.000 0.000 [2 per cell]
Pt1 0.000 0.500 0.250 [4 per cell]
Cl1 0.000 0.000 0.500 [2 per cell]

Summary:
The density of states at the Fermi level is 0.424 states/eV per atom. Its energy relative to the elements, uncorrected is 0.192 eV/atom. As for the excess energy over the best structure of this formula in the dataset: 0.364 eV per atom.

# 4
## ReSi (PBE)

Data for crystalline ReSi at its relaxed geometry.

Cell: 8.388 8.388 3.797 Å, 90.00 90.00 90.00°
Space group I4/m (No. 87)
Unique sites:
Re1 0.115 0.374 0.000 [8 per cell]
Si1 0.094 0.816 0.000 [8 per cell]

Summary:
The density of states at the Fermi level is 0.916 states/eV per atom. Its energy relative to the elements, uncorrected is 0.296 eV/atom.

# 5
## GaSiNiOs (PBE)

Data for crystalline GaSiNiOs at its relaxed geometry.

Cell: 2.819 4.459 4.260 Å, 90.00 90.00 90.00°
Space group Pmm2 (No. 25)
Unique sites:
Ga1 0.000 0.000 0.000 [1 per cell]
Si1 0.500 0.500 0.233 [1 per cell]
Ni1 0.000 0.500 0.718 [1 per cell]
Os1 0.500 0.000 0.502 [1 per cell]

Summary:
The density of states at the Fermi level is 0.661 states/eV per atom. Its energy relative to the elements, uncorrected is -0.106 eV/atom. As for the excess energy over the best structure of this formula in the dataset: 0.161 eV per atom.

# 6
## BaLi2IrF8 (PBE)

Data for crystalline BaLi2IrF8 at its relaxed geometry.

Cell: 4.664 5.583 7.574 Å, 110.42 94.06 93.00°
Space group P-1 (No. 2)
Unique sites:
Ba1 0.000 0.000 0.000 [1 per cell]
Li1 0.495 0.573 0.187 [2 per cell]
Ir1 0.000 0.500 0.500 [1 per cell]
F1 0.112 0.503 0.247 [2 per cell]
F2 0.176 0.843 0.646 [2 per cell]
F3 0.331 0.338 0.563 [2 per cell]
F4 0.477 0.747 0.016 [2 per cell]

Summary:
The density of states at the Fermi level is 0.315 states/eV per atom. Its energy relative to the elements, uncorrected is -2.559 eV/atom.

# 7
## Tb6Pr12Ho (PBE)

Data for crystalline Tb6Pr12Ho at its relaxed geometry.

Cell: 12.2643 12.2643 15.4308 Å, 90.00 90.00 120.00°
Space group R-3 (No. 148, hexagonal axes)
Unique sites:
Tb1 0.0168 0.5887 0.1873 [18 per cell]
Pr1 0.0015 0.1730 0.6912 [18 per cell]
Pr2 0.0477 0.1982 0.9163 [18 per cell]
Ho1 0.0000 0.0000 0.5000 [3 per cell]

Summary:
The density of states at the Fermi level is 1.672 states/eV per atom. As for the energy of formation from the pure elements: 0.128 eV per atom. As for the excess energy over the best structure of this formula in the dataset: 0.000 eV per atom.

# 8
## Ru3Rh4W (PBE)

Data for crystalline Ru3Rh4W at its relaxed geometry.

Cell: 21.282 2.706 4.412 Å, 90.00 90.65 90.00°
Space group C2/m (No. 12)
Unique sites:
Ru1 0.000 0.000 0.000 [2 per cell]
Ru2 0.210 0.000 0.821 [4 per cell]
Rh1 0.102 0.500 0.805 [4 per cell]
Rh2 0.172 0.500 0.319 [4 per cell]
W1 0.000 0.500 0.500 [2 per cell]

Summary:
The density of states at the Fermi level is 1.108 states/eV per atom. As for the energy of formation from the pure elements: 0.442 eV per atom.

# 9
## CdOs2Ru (PBE)

Data for crystalline CdOs2Ru at its relaxed geometry.

Cell: 2.7662 2.7662 27.9984 Å, 90.00 90.00 120.00°
Space group R-3m (No. 166, hexagonal axes)
Unique sites:
Cd1 0.0000 0.0000 0.0000 [3 per cell]
Os1 0.0000 0.0000 0.2430 [6 per cell]
Ru1 0.0000 0.0000 0.5000 [3 per cell]

Summary:
The density of states at the Fermi level is 0.979 states/eV per atom. As for the energy of formation from the pure elements: 0.347 eV per atom.

# 10
## K2BiTe4As (PBE)

Data for crystalline K2BiTe4As at its relaxed geometry.

Cell: 9.046 9.497 13.112 Å, 90.00 90.00 90.00°
Space group Imma (No. 74)
Unique sites:
K1 0.000 0.000 0.000 [4 per cell]
K2 0.250 0.250 0.250 [4 per cell]
Bi1 0.000 0.000 0.500 [4 per cell]
Te1 0.000 0.042 0.742 [8 per cell]
Te2 0.233 0.250 0.522 [8 per cell]
As1 0.250 0.250 0.750 [4 per cell]

Summary:
Its energy relative to the elements, uncorrected is -0.472 eV/atom.

Electronic total energy across the listed records, respectively: -3.520; -1.638; -4.321; -8.640; -6.471; -5.025; -4.594; -8.331; -7.816; -3.384 eV per atom.
Size of the total moment across the listed records, respectively: 0.0; 0.0; 0.0; 0.0; 0.0; 1.0; 0.0; 0.0; 0.0; 0.0 μB per cell.